A plane-wave DFT calculation with PBE was carried out for a geometry-optimized Si2SbRh2 structure.

Structure (POSCAR):
```
Si2SbRh2
1.0
-1.851 1.851 6.089
1.851 -1.851 6.089
1.851 1.851 -6.089
Si Sb Rh
2 1 2
Direct
0.250 0.750 0.500
0.750 0.250 0.500
0.000 0.000 0.000
0.373 0.373 0.000
0.627 0.627 0.000
```

Summary:
Relative energy among the computed polymorphs in kcal/mol of atoms: 0.000
Size of the total moment in μB per formula unit: 0.000
Crystal system: tetragonal


A plane-wave DFT calculation with PBE was carried out for a geometry-optimized SiSbRh4 structure.

Structure (POSCAR):
```
SiSbRh4
1.0
0.000 3.678 3.678
3.678 0.000 3.678
3.678 3.678 0.000
Si Sb Rh
1 1 4
Direct
0.000 0.000 0.000
0.250 0.250 0.250
0.124 0.625 0.625
0.625 0.124 0.625
0.625 0.625 0.124
0.625 0.625 0.625
```

Summary:
Size of the total moment in μB per formula unit: 0.000
Electronic total energy in eV/atom: -6.262
Crystal system: cubic


A plane-wave DFT calculation with PBE was carried out for a geometry-optimized Si2SbRh2 structure.

Structure (POSCAR):
```
Si2SbRh2
1.0
7.427 0.000 0.000
0.000 7.427 0.000
0.000 0.000 2.849
Si Sb Rh
4 2 4
Direct
0.141 0.359 0.000
0.359 0.859 0.000
0.641 0.141 0.000
0.859 0.641 0.000
0.000 0.000 0.500
0.500 0.500 0.500
0.143 0.643 0.500
0.357 0.143 0.500
0.643 0.857 0.500
0.857 0.357 0.500
```

Summary:
Relative energy among the computed polymorphs in kcal/mol of atoms: 3.553
Size of the total moment in μB per formula unit: 0.000
Crystal system: tetragonal


A plane-wave DFT calculation with PBE was carried out for a geometry-optimized SiSbRh structure.

Structure (POSCAR):
```
SiSbRh
1.0
6.255 0.000 0.000
0.000 6.489 0.000
-2.075 0.000 5.711
Si Sb Rh
4 4 4
Direct
0.139 0.170 0.333
0.139 0.330 0.833
0.861 0.670 0.167
0.861 0.830 0.667
0.355 0.613 0.655
0.355 0.887 0.155
0.645 0.113 0.845
0.645 0.387 0.345
0.207 0.006 0.700
0.207 0.494 0.200
0.793 0.506 0.800
0.793 0.994 0.300
```

Summary:
Size of the total moment in μB per formula unit: 0.000
Electronic total energy in eV/atom: -6.027
Crystal system: monoclinic


A plane-wave DFT calculation with PBE was carried out for a geometry-optimized Tb2Si2SbRh5 structure.

Structure (POSCAR):
```
Tb2Si2SbRh5
1.0
9.816 0.000 0.000
0.000 9.816 0.000
0.000 0.000 3.551
Tb Si Sb Rh
4 4 2 10
Direct
0.177 0.323 0.000
0.323 0.823 0.000
0.677 0.177 0.000
0.823 0.677 0.000
0.120 0.620 0.000
0.380 0.120 0.000
0.620 0.880 0.000
0.880 0.380 0.000
0.000 0.000 0.000
0.500 0.500 0.000
0.000 0.500 0.500
0.069 0.783 0.500
0.217 0.069 0.500
0.283 0.569 0.500
0.431 0.283 0.500
0.500 0.000 0.500
0.569 0.717 0.500
0.717 0.431 0.500
0.783 0.931 0.500
0.931 0.217 0.500
```

Summary:
Size of the total moment in μB per formula unit: 0.000
Electronic total energy in eV/atom: -7.021
Crystal system: tetragonal


A plane-wave DFT calculation with PBE was carried out for a geometry-optimized Sm2Sb3Rh4 structure.

Structure (POSCAR):
```
Sm2Sb3Rh4
1.0
3.067 -7.993 0.000
3.067 7.993 0.000
0.000 0.000 7.435
Sm Sb Rh
4 6 8
Direct
0.102 0.898 0.910
0.398 0.602 0.410
0.602 0.398 0.590
0.898 0.102 0.090
0.000 0.000 0.500
0.012 0.488 0.750
0.488 0.012 0.250
0.500 0.500 0.000
0.512 0.988 0.750
0.988 0.512 0.250
0.171 0.829 0.517
0.181 0.319 0.750
0.319 0.181 0.250
0.329 0.671 0.017
0.671 0.329 0.983
0.681 0.819 0.750
0.819 0.681 0.250
0.829 0.171 0.483
```

Summary:
Size of the total moment in μB per formula unit: 0.000
Electronic total energy in eV/atom: -6.463
Crystal system: orthorhombic


| no. | theoretical density (g cm⁻³) |
| --- | --- |
| 1 | 7.6 |
| 2 | 9.4 |
| 3 | 8.1 |
| 4 | 7.2 |
| 5 | 9.8 |
| 6 | 9.8 |